(1)
LiTh2Mn | PBE | optimized geometry

Values from the calculation:
M_tot ... 0.00 μB per formula unit
Calculated formation energy ... 0.38 eV/atom
Density of states at the Fermi level ... 4.37 states/eV per cell
V ... 127 Å³/cell
Space group ... No. 166

Cell: 3.877 3.877 10.024 Å, 78.85 78.85 60.00°
Positions (direct):
Mn 0.500 0.500 0.500
Th 0.117 0.117 0.649
Th 0.883 0.883 0.351
Li 0.000 0.000 0.000

---

(2)
LiYThMn | PBE | optimized geometry

Values from the calculation:
M_tot ... 1.38 μB per formula unit
Calculated formation energy ... 0.15 eV/atom
Density of states at the Fermi level ... 3.49 states/eV per cell
V ... 89 Å³/cell
Space group ... No. 216

Cell: 5.015 5.015 5.015 Å, 60.00 60.00 60.00°
Site moments in Bohr magnetons follow the coordinates.
Positions (direct):
Y 0.000 0.000 0.000  -0.28
Mn 0.750 0.750 0.750  2.39
Th 0.500 0.500 0.500  -0.30
Li 0.250 0.250 0.250  -0.06

---

(3)
LiTi2Mn | PBE | optimized geometry

Values from the calculation:
Energy relative to the lowest polymorph listed for this composition ... 1203.6 meV/atom
M_tot ... 0.00 μB per formula unit
Calculated formation energy ... 1.21 eV/atom
Density of states at the Fermi level ... 13.85 states/eV per cell
V ... 222 Å³/cell
Space group ... No. 122

Cell: 6.622 6.622 6.892 Å, 61.29 61.29 90.00°
Positions (direct):
Mn 0.000 0.000 0.000
Mn 0.750 0.250 0.500
Li 0.500 0.500 0.000
Li 0.250 0.750 0.500
Ti 0.876 0.125 0.250
Ti 0.874 0.625 0.250
Ti 0.375 0.124 0.750
Ti 0.875 0.126 0.750

---

(4)
LiTiMn3 | PBE | optimized geometry

Values from the calculation:
Energy relative to the lowest polymorph listed for this composition ... 0.0 meV/atom
M_tot ... 7.94 μB per formula unit
Calculated formation energy ... 0.86 eV/atom
Density of states at the Fermi level ... 5.16 states/eV per cell
V ... 71 Å³/cell
Space group ... No. 221

Cell: 4.137 4.137 4.137 Å, 90.00 90.00 90.00°
Site moments in Bohr magnetons follow the coordinates.
Positions (direct):
Mn 0.000 0.500 0.000  2.99
Mn 0.000 0.000 0.500  3.17
Mn 0.500 0.000 0.000  2.78
Li 0.000 0.000 0.000  0.06
Ti 0.500 0.500 0.500  -1.01

---

(5)
LiTi2Mn | PBE | optimized geometry

Values from the calculation:
Energy relative to the lowest polymorph listed for this composition ... 0.0 meV/atom
M_tot ... 0.00 μB per formula unit
Calculated formation energy ... 0.01 eV/atom
Density of states at the Fermi level ... 3.71 states/eV per cell
V ... 63 Å³/cell
Space group ... No. 123

Cell: 2.939 2.939 7.342 Å, 90.00 90.00 90.00°
Positions (direct):
Mn 0.500 0.500 0.000
Li 0.500 0.500 0.500
Ti 0.000 0.000 0.805
Ti 0.000 0.000 0.195

---

(6)
LiTi2Mn | PBE | optimized geometry

Values from the calculation:
Energy relative to the lowest polymorph listed for this composition ... 26.6 meV/atom
M_tot ... 0.00 μB per formula unit
Calculated formation energy ... 0.03 eV/atom
Density of states at the Fermi level ... 4.61 states/eV per cell
V ... 55 Å³/cell
Space group ... No. 225

Cell: 4.276 4.276 4.276 Å, 60.00 60.00 60.00°
Positions (direct):
Mn 0.500 0.500 0.500
Li 0.000 0.000 0.000
Ti 0.250 0.250 0.250
Ti 0.750 0.750 0.750

---

(7)
LiTi2Mn | PBE | optimized geometry

Values from the calculation:
Energy relative to the lowest polymorph listed for this composition ... 100.7 meV/atom
M_tot ... 0.00 μB per formula unit
Calculated formation energy ... 0.11 eV/atom
Density of states at the Fermi level ... 4.93 states/eV per cell
V ... 56 Å³/cell
Space group ... No. 123

Cell: 3.057 4.269 4.269 Å, 90.00 90.00 90.00°
Site moments in Bohr magnetons follow the coordinates.
Positions (direct):
Mn 0.500 0.500 0.500  0.61
Li 0.500 0.000 0.000  -0.01
Ti 0.000 0.000 0.500  -0.25
Ti 0.000 0.500 0.000  -0.25

---

(8)
LiTiMn3 | PBE | optimized geometry

Values from the calculation:
Energy relative to the lowest polymorph listed for this composition ... 123.1 meV/atom
M_tot ... 8.78 μB per formula unit
Calculated formation energy ... 0.98 eV/atom
Density of states at the Fermi level ... 4.17 states/eV per cell
V ... 96 Å³/cell
Space group ... No. 221

Cell: 4.582 4.582 4.582 Å, 90.00 90.00 90.00°
Site moments in Bohr magnetons follow the coordinates.
Positions (direct):
Mn 0.000 0.500 0.000  3.15
Mn 0.000 0.000 0.500  2.92
Mn 0.500 0.000 0.000  3.47
Li 0.500 0.500 0.500  -0.02
Ti 0.000 0.000 0.000  -1.06

---

The highest density of states at the Fermi level belongs to which entry? number 3